Entry 1:
AcYCuRh | PBE-GGA | optimized geometry

## Properties
The calculation puts the electronic total energy at -5.880 eV per atom. The crystal system is cubic. Its space group is F-43m (216). The density of states at the Fermi level comes out at 1.00 states/eV per atom. The value obtained for the energy relative to the elements is -8.7 kcal/mol of atoms.

```
data_AcYCuRh
_chemical_formula_sum 'Ac1 Y1 Cu1 Rh1'
_space_group_name_H-M_alt 'P 1'
_space_group_IT_number 1
_cell_length_a 5.1172
_cell_length_b 5.1172
_cell_length_c 5.1172
_cell_angle_alpha 60.00
_cell_angle_beta 60.00
_cell_angle_gamma 60.00
loop_
_space_group_symop_operation_xyz
'x,y,z'
loop_
_atom_site_label
_atom_site_type_symbol
_atom_site_fract_x
_atom_site_fract_y
_atom_site_fract_z
Y1 Y 0.7500 0.7500 0.7500
Ac1 Ac 0.2500 0.2500 0.2500
Rh1 Rh 0.5000 0.5000 0.5000
Cu1 Cu 0.0000 0.0000 0.0000
```



Entry 2:
ScCu3Ir | PBE-GGA | optimized geometry

## Properties
The calculation puts the electronic total energy at -4.869 eV per atom. The crystal system is cubic. Its space group is Pm-3m (221). The density of states at the Fermi level comes out at 0.65 states/eV per atom. The value obtained for the energy relative to the elements is 14.5 kcal/mol of atoms.

```
data_ScCu3Ir
_chemical_formula_sum 'Sc1 Cu3 Ir1'
_space_group_name_H-M_alt 'P 1'
_space_group_IT_number 1
_cell_length_a 4.6122
_cell_length_b 4.6122
_cell_length_c 4.6122
_cell_angle_alpha 90.00
_cell_angle_beta 90.00
_cell_angle_gamma 90.00
loop_
_space_group_symop_operation_xyz
'x,y,z'
loop_
_atom_site_label
_atom_site_type_symbol
_atom_site_fract_x
_atom_site_fract_y
_atom_site_fract_z
Ir1 Ir 0.0000 0.0000 0.0000
Cu1 Cu 0.5000 0.0000 0.0000
Cu2 Cu 0.0000 0.5000 0.0000
Cu3 Cu 0.0000 0.0000 0.5000
Sc1 Sc 0.5000 0.5000 0.5000
```



Entry 3:
TcAg2I5 | PBE-GGA | optimized geometry

## Properties
The calculation puts the electronic total energy at -3.020 eV per atom. The crystal system is triclinic. For the uncorrected formation energy, the calculation gives -0.04 eV per atom. Its space group is P1 (1). The density of states at the Fermi level comes out at 0.06 states/eV per atom.

```
data_TcAg2I5
_chemical_formula_sum 'Tc1 Ag2 I5'
_space_group_name_H-M_alt 'P 1'
_space_group_IT_number 1
_cell_length_a 7.0976
_cell_length_b 7.4687
_cell_length_c 7.6353
_cell_angle_alpha 74.87
_cell_angle_beta 59.49
_cell_angle_gamma 61.52
loop_
_space_group_symop_operation_xyz
'x,y,z'
loop_
_atom_site_label
_atom_site_type_symbol
_atom_site_fract_x
_atom_site_fract_y
_atom_site_fract_z
I1 I 0.9915 0.3655 0.7632
I2 I 0.5998 0.0042 0.0211
I3 I 0.3716 0.7916 0.6437
I4 I 0.7984 0.2402 0.3299
I5 I 0.1245 0.6684 0.2212
Ag1 Ag 0.5893 0.6141 0.1250
Ag2 Ag 0.4983 0.0859 0.6867
Tc1 Tc 0.0266 0.0072 0.9862
```



Entry 4:
MnOsAu2 | PBE-GGA | optimized geometry

## Properties
The calculation puts the electronic total energy at -6.383 eV per atom. The crystal system is monoclinic. Its space group is Cm (8). The density of states at the Fermi level comes out at 0.79 states/eV per atom. The value obtained for the energy relative to the elements is 8.2 kcal/mol of atoms.

```
data_MnOsAu2
_chemical_formula_sum 'Mn1 Os1 Au2'
_space_group_name_H-M_alt 'P 1'
_space_group_IT_number 1
_cell_length_a 4.8789
_cell_length_b 4.8789
_cell_length_c 4.8790
_cell_angle_alpha 77.72
_cell_angle_beta 77.72
_cell_angle_gamma 34.46
loop_
_space_group_symop_operation_xyz
'x,y,z'
loop_
_atom_site_label
_atom_site_type_symbol
_atom_site_fract_x
_atom_site_fract_y
_atom_site_fract_z
Os1 Os 0.2360 0.2360 0.2654
Au1 Au 0.9945 0.9945 0.0067
Au2 Au 0.7582 0.7582 0.7438
Mn1 Mn 0.5112 0.5112 0.4841
```



Entry 5:
V2RhW | PBE-GGA | optimized geometry

## Properties
The calculation puts the electronic total energy at -9.555 eV per atom. The crystal system is orthorhombic. Its space group is Amm2 (38). The density of states at the Fermi level comes out at 1.84 states/eV per atom. The value obtained for the energy relative to the elements is 1.8 kcal/mol of atoms.

```
data_V2RhW
_chemical_formula_sum 'V2 Rh1 W1'
_space_group_name_H-M_alt 'P 1'
_space_group_IT_number 1
_cell_length_a 4.2468
_cell_length_b 2.6220
_cell_length_c 5.4007
_cell_angle_alpha 104.05
_cell_angle_beta 90.00
_cell_angle_gamma 90.00
loop_
_space_group_symop_operation_xyz
'x,y,z'
loop_
_atom_site_label
_atom_site_type_symbol
_atom_site_fract_x
_atom_site_fract_y
_atom_site_fract_z
W1 W 0.0000 0.0642 0.1284
Rh1 Rh 0.0000 0.3171 0.6342
V1 V 0.5000 0.4436 0.8871
V2 V 0.5000 0.7006 0.4012
```



Entry 6:
SrHg3Pb | PBE-GGA | optimized geometry

## Properties
The calculation puts the electronic total energy at -0.878 eV per atom. The crystal system is cubic. Its space group is Pm-3m (221). The density of states at the Fermi level comes out at 1.41 states/eV per atom. The value obtained for the energy relative to the elements is 8.8 kcal/mol of atoms.

```
data_SrHg3Pb
_chemical_formula_sum 'Sr1 Hg3 Pb1'
_space_group_name_H-M_alt 'P 1'
_space_group_IT_number 1
_cell_length_a 5.9895
_cell_length_b 5.9895
_cell_length_c 5.9895
_cell_angle_alpha 90.00
_cell_angle_beta 90.00
_cell_angle_gamma 90.00
loop_
_space_group_symop_operation_xyz
'x,y,z'
loop_
_atom_site_label
_atom_site_type_symbol
_atom_site_fract_x
_atom_site_fract_y
_atom_site_fract_z
Pb1 Pb 0.5000 0.5000 0.5000
Sr1 Sr 0.0000 0.0000 0.0000
Hg1 Hg 0.0000 0.5000 0.0000
Hg2 Hg 0.5000 0.0000 0.0000
Hg3 Hg 0.0000 0.0000 0.5000
```



Entry 7:
ZrAl2B2 | PBE-GGA | optimized geometry

## Properties
The calculation puts the electronic total energy at -5.671 eV per atom. The crystal system is tetragonal. Its space group is I4/mmm (139). The density of states at the Fermi level comes out at 0.46 states/eV per atom. The value obtained for the energy relative to the elements is 4.8 kcal/mol of atoms.

```
data_ZrAl2B2
_chemical_formula_sum 'Zr1 Al2 B2'
_space_group_name_H-M_alt 'P 1'
_space_group_IT_number 1
_cell_length_a 4.0110
_cell_length_b 4.0110
_cell_length_c 5.0112
_cell_angle_alpha 66.41
_cell_angle_beta 66.41
_cell_angle_gamma 90.00
loop_
_space_group_symop_operation_xyz
'x,y,z'
loop_
_atom_site_label
_atom_site_type_symbol
_atom_site_fract_x
_atom_site_fract_y
_atom_site_fract_z
B1 B 0.7500 0.2500 0.5000
B2 B 0.2500 0.7500 0.5000
Zr1 Zr 0.0000 0.0000 0.0000
Al1 Al 0.6518 0.6518 0.6963
Al2 Al 0.3482 0.3482 0.3037
```



Entry 8:
PaPd3Au | PBE-GGA | optimized geometry

## Properties
The calculation puts the electronic total energy at -6.237 eV per atom. The crystal system is monoclinic. Its space group is Cm (8). The density of states at the Fermi level comes out at 0.67 states/eV per atom. The value obtained for the energy relative to the elements is -13.1 kcal/mol of atoms.

```
data_PaPd3Au
_chemical_formula_sum 'Pa2 Pd6 Au2'
_space_group_name_H-M_alt 'P 1'
_space_group_IT_number 1
_cell_length_a 7.8513
_cell_length_b 5.8851
_cell_length_c 4.1201
_cell_angle_alpha 90.00
_cell_angle_beta 74.79
_cell_angle_gamma 80.91
loop_
_space_group_symop_operation_xyz
'x,y,z'
loop_
_atom_site_label
_atom_site_type_symbol
_atom_site_fract_x
_atom_site_fract_y
_atom_site_fract_z
Pa1 Pa 0.1251 0.6030 0.1237
Pa2 Pa 0.7065 0.1992 0.3331
Pd1 Pd 0.3168 0.3098 0.5281
Pd2 Pd 0.5294 0.4939 0.9217
Pd3 Pd 0.5447 0.9912 0.9141
Pd4 Pd 0.7347 0.6908 0.3192
Pd5 Pd 0.9233 0.8994 0.7248
Pd6 Pd 0.9187 0.4008 0.7270
Au1 Au 0.1238 0.1049 0.1245
Au2 Au 0.3332 0.8147 0.5199
```



Entry 9:
KSb2IrI | PBE-GGA | optimized geometry

## Properties
The calculation puts the electronic total energy at -3.961 eV per atom. The crystal system is tetragonal. For the uncorrected formation energy, the calculation gives -0.01 eV per atom. Its space group is P4/mmm (123). The density of states at the Fermi level comes out at 0.82 states/eV per atom.

```
data_KSb2IrI
_chemical_formula_sum 'K1 Sb2 Ir1 I1'
_space_group_name_H-M_alt 'P 1'
_space_group_IT_number 1
_cell_length_a 5.1445
_cell_length_b 5.1445
_cell_length_c 6.3659
_cell_angle_alpha 90.00
_cell_angle_beta 90.00
_cell_angle_gamma 90.00
loop_
_space_group_symop_operation_xyz
'x,y,z'
loop_
_atom_site_label
_atom_site_type_symbol
_atom_site_fract_x
_atom_site_fract_y
_atom_site_fract_z
I1 I 0.0000 0.0000 0.5000
Sb1 Sb 0.0000 0.5000 0.0000
Sb2 Sb 0.5000 0.0000 0.0000
K1 K 0.5000 0.5000 0.5000
Ir1 Ir 0.0000 0.0000 0.0000
```



Entry 10:
Ti12MnSn6 | PBE-GGA | optimized geometry

## Properties
The calculation puts the electronic total energy at -6.886 eV per atom. The crystal system is trigonal. Its space group is R-3 (148). The density of states at the Fermi level comes out at 0.99 states/eV per atom. The value obtained for the energy relative to the elements is -3.5 kcal/mol of atoms.

```
data_Ti12MnSn6
_chemical_formula_sum 'Ti12 Mn1 Sn6'
_space_group_name_H-M_alt 'P 1'
_space_group_IT_number 1
_cell_length_a 7.0474
_cell_length_b 7.0474
_cell_length_c 7.0474
_cell_angle_alpha 91.39
_cell_angle_beta 91.39
_cell_angle_gamma 91.39
loop_
_space_group_symop_operation_xyz
'x,y,z'
loop_
_atom_site_label
_atom_site_type_symbol
_atom_site_fract_x
_atom_site_fract_y
_atom_site_fract_z
Ti1 Ti 0.1436 0.3695 0.0605
Ti2 Ti 0.9395 0.8564 0.6305
Ti3 Ti 0.8564 0.6305 0.9395
Ti4 Ti 0.6305 0.9395 0.8564
Ti5 Ti 0.4715 0.5505 0.2046
Ti6 Ti 0.2046 0.4715 0.5505
Ti7 Ti 0.3695 0.0605 0.1436
Ti8 Ti 0.4495 0.7954 0.5285
Ti9 Ti 0.5285 0.4495 0.7954
Ti10 Ti 0.7954 0.5285 0.4495
Ti11 Ti 0.0605 0.1436 0.3695
Ti12 Ti 0.5505 0.2046 0.4715
Sn1 Sn 0.2810 0.1223 0.7419
Sn2 Sn 0.1223 0.7419 0.2810
Sn3 Sn 0.7419 0.2810 0.1223
Sn4 Sn 0.8777 0.2581 0.7190
Sn5 Sn 0.2581 0.7190 0.8777
Sn6 Sn 0.7190 0.8777 0.2581
Mn1 Mn 0.0000 0.0000 0.0000
```